Here is OsPd2W after structural relaxation from OQMD via LeMat-Bulk. Energies are from PBE-GGA.

Results
* space group: Ama2 (40)
* M_tot: 0.00 μB per atom
* final energy: -8.63 eV per atom

a b c (Å): 4.459 5.541 5.541
angles (deg): 119.39 90.00 90.00
Atoms (fractional coordinates):
Os 0.250 0.079 0.921
Os 0.750 0.921 0.079
Pd 0.250 0.579 0.915
Pd 0.250 0.584 0.408
Pd 0.750 0.408 0.584
Pd 0.750 0.915 0.579
W 0.250 0.082 0.399
W 0.750 0.399 0.082